Here is an optimized crystal structure of YHgI2O from Alexandria. Energies are from PBE-GGA.

Cell: 6.2756 6.2756 4.1783 Å, 90.00 90.00 90.00°
Space group P4/mmm (No. 123)
Symmetry-distinct sites (fractional):
Y 0.0000 0.0000 0.0000 x1
Hg 0.5000 0.5000 0.5000 x1
I 0.0000 0.5000 0.0000 x2
O 0.0000 0.0000 0.5000 x1

Uncorrected formation energy in eV/atom: -1.192
V in Å³/cell: 164.6